1.
Compound: KBaTc
Source: Alexandria via LeMat-Bulk
Functional: PBE-GGA
Structure: optimized geometry

V (A^3/atom): 38.13
SG: No. 107
Energy relative to the elements (eV/atom): 1.138
Total magnetization (μB per cell): 2.02
E (eV/cell): -9.97

Unit cell a=9.040 b=9.040 c=9.040 alpha=156.82 beta=156.82 gamma=33.02
Sites, in units of the cell vectors:
1 K 0.000 0.000 0.000
2 Ba 0.257 0.257 0.000
3 Tc 0.640 0.640 0.000

=====

2.
Compound: Pr8Nd6Sm
Source: Alexandria via LeMat-Bulk
Functional: PBE-GGA
Structure: optimized geometry

V (A^3/atom): 36.36
SG: No. 147
Energy relative to the elements (eV/atom): 0.160
Total magnetization (μB per cell): 0.00
E (eV/cell): -69.17

Unit cell a=9.640 b=9.640 c=6.776 alpha=90.00 beta=90.00 gamma=120.00
Sites, in units of the cell vectors:
1 Pr 0.029 0.744 0.162
2 Pr 0.256 0.284 0.162
3 Pr 0.284 0.029 0.838
4 Pr 0.333 0.667 0.110
5 Pr 0.667 0.333 0.890
6 Pr 0.716 0.971 0.162
7 Pr 0.744 0.716 0.838
8 Pr 0.971 0.256 0.838
9 Nd 0.085 0.655 0.656
10 Nd 0.345 0.431 0.656
11 Nd 0.431 0.085 0.344
12 Nd 0.569 0.915 0.656
13 Nd 0.655 0.569 0.344
14 Nd 0.915 0.345 0.344
15 Sm 0.000 0.000 0.500

=====

3.
Compound: Sr3CI
Source: Alexandria via LeMat-Bulk
Functional: PBE-GGA
Structure: optimized geometry

V (A^3/atom): 33.68
ΔE_f (raw) (meV per atom): -115
SG: No. 221
Total magnetization (μB per cell): 0.00
E (eV/cell): -16.40

Unit cell a=5.522 b=5.522 c=5.522 alpha=90.00 beta=90.00 gamma=90.00
Sites, in units of the cell vectors:
1 Sr 0.000 0.000 0.500
2 Sr 0.000 0.500 0.000
3 Sr 0.500 0.000 0.000
4 C 0.000 0.000 0.000
5 I 0.500 0.500 0.500